# Tb11Sn10 (meta-GGA SCAN, PBEsol geometry)
# N(E_F): 49.53 states/eV per cell
# energy of formation: -82.8 kJ/mol of atoms
data_Tb11Sn10
_chemical_formula_sum 'Tb44 Sn40'
_space_group_name_H-M_alt 'I 4/m m m'
_space_group_IT_number 139
_space_group_name_Hall '-I 4 2'
_cell_length_a 11.510
_cell_length_b 11.510
_cell_length_c 16.830
_cell_angle_alpha 90.00
_cell_angle_beta 90.00
_cell_angle_gamma 90.00
loop_
_atom_site_label
_atom_site_fract_x
_atom_site_fract_y
_atom_site_fract_z
_atom_site_occupancy
Tb1 0.000 0.000 0.168 1
Tb2 0.000 0.251 0.311 1
Tb3 0.000 0.331 0.102 1
Tb4 0.174 0.174 0.500 1
Sn1 0.000 0.000 0.389 1
Sn2 0.000 0.356 0.500 1
Sn3 0.000 0.500 0.250 1
Sn4 0.130 0.130 0.000 1
Sn5 0.206 0.206 0.176 1

***

# TbZnSn2 (meta-GGA SCAN, PBEsol geometry)
# N(E_F): 3.26 states/eV per cell
# energy of formation: -51.1 kJ/mol of atoms
data_TbZnSn2
_chemical_formula_sum 'Tb2 Zn2 Sn4'
_space_group_name_H-M_alt 'P 4/n m m'
_space_group_IT_number 129
_cell_length_a 4.298
_cell_length_b 4.298
_cell_length_c 9.653
_cell_angle_alpha 90.00
_cell_angle_beta 90.00
_cell_angle_gamma 90.00
loop_
_space_group_symop_operation_xyz
'x,y,z'
'-x,-y,-z'
'-y+1/2,x,z'
'y+1/2,-x,-z'
'-x+1/2,-y+1/2,z'
'x+1/2,y+1/2,-z'
'y,-x+1/2,z'
'-y,x+1/2,-z'
'x+1/2,-y,-z'
'-x+1/2,y,z'
'-y,-x,-z'
'y,x,z'
'-x,y+1/2,-z'
'x,-y+1/2,z'
'y+1/2,x+1/2,-z'
'-y+1/2,-x+1/2,z'
loop_
_atom_site_label
_atom_site_fract_x
_atom_site_fract_y
_atom_site_fract_z
_atom_site_occupancy
Tb1 0.250 0.250 0.247 1
Zn1 0.250 0.750 0.000 1
Sn1 0.250 0.250 0.815 1
Sn2 0.250 0.750 0.500 1

***

# YTcSn2Te (meta-GGA SCAN, PBEsol geometry)
# formation energy (no corrections): 1195.2 meV/atom
# N(E_F): 4.20 states/eV per cell
data_YTcSn2Te
_chemical_formula_sum 'Y1 Tc1 Sn2 Te1'
_space_group_name_H-M_alt 'P 4/m m m'
_space_group_IT_number 123
_space_group_name_Hall '-P 4 2'
_cell_length_a 5.705
_cell_length_b 5.705
_cell_length_c 4.700
_cell_angle_alpha 90.00
_cell_angle_beta 90.00
_cell_angle_gamma 90.00
loop_
_atom_site_label
_atom_site_fract_x
_atom_site_fract_y
_atom_site_fract_z
_atom_site_occupancy
Y1 0.000 0.000 0.000 1
Tc1 0.000 0.000 0.500 1
Sn1 0.000 0.500 0.000 1
Te1 0.500 0.500 0.500 1

***

# Ti2Tc2Sn (meta-GGA SCAN, PBEsol geometry)
# N(E_F): 12.36 states/eV per cell
# energy of formation: 12.7 kJ/mol of atoms
data_Ti2Tc2Sn
_chemical_formula_sum 'Ti4 Tc4 Sn2'
_space_group_name_H-M_alt 'I 4/m m m'
_space_group_IT_number 139
_space_group_name_Hall '-I 4 2'
_cell_length_a 3.445
_cell_length_b 3.445
_cell_length_c 15.015
_cell_angle_alpha 90.00
_cell_angle_beta 90.00
_cell_angle_gamma 90.00
loop_
_atom_site_label
_atom_site_fract_x
_atom_site_fract_y
_atom_site_fract_z
_atom_site_occupancy
Ti1 0.000 0.000 0.108 1
Tc1 0.000 0.500 0.250 1
Sn1 0.000 0.000 0.500 1

***

# Ti3TcSn (meta-GGA SCAN, PBEsol geometry)
# N(E_F): 7.28 states/eV per cell
# energy of formation: 138.2 kJ/mol of atoms
data_Ti3TcSn
_chemical_formula_sum 'Ti3 Tc1 Sn1'
_space_group_name_H-M_alt 'P m -3 m'
_space_group_IT_number 221
_space_group_name_Hall '-P 4 2 3'
_cell_length_a 4.850
_cell_length_b 4.850
_cell_length_c 4.850
_cell_angle_alpha 90.00
_cell_angle_beta 90.00
_cell_angle_gamma 90.00
loop_
_atom_site_label
_atom_site_fract_x
_atom_site_fract_y
_atom_site_fract_z
_atom_site_occupancy
Ti1 0.000 0.000 0.500 1
Tc1 0.500 0.500 0.500 1
Sn1 0.000 0.000 0.000 1

***

# UTc2Sn (meta-GGA SCAN, PBEsol geometry)
# N(E_F): 14.24 states/eV per cell
# energy of formation: -2.6 kJ/mol of atoms
data_UTc2Sn
_chemical_formula_sum 'U4 Tc8 Sn4'
_space_group_name_H-M_alt 'F m -3 m'
_space_group_IT_number 225
_space_group_name_Hall '-F 4 2 3'
_cell_length_a 6.564
_cell_length_b 6.564
_cell_length_c 6.564
_cell_angle_alpha 90.00
_cell_angle_beta 90.00
_cell_angle_gamma 90.00
loop_
_atom_site_label
_atom_site_fract_x
_atom_site_fract_y
_atom_site_fract_z
_atom_site_occupancy
U1 0.000 0.000 0.000 1
Tc1 0.250 0.250 0.250 1
Sn1 0.000 0.000 0.500 1

***

# YTc3Sn (meta-GGA SCAN, PBEsol geometry)
# N(E_F): 4.77 states/eV per cell
# energy of formation: 134.7 kJ/mol of atoms
data_YTc3Sn
_chemical_formula_sum 'Y1 Tc3 Sn1'
_space_group_name_H-M_alt 'P m -3 m'
_space_group_IT_number 221
_space_group_name_Hall '-P 4 2 3'
_cell_length_a 4.821
_cell_length_b 4.821
_cell_length_c 4.821
_cell_angle_alpha 90.00
_cell_angle_beta 90.00
_cell_angle_gamma 90.00
loop_
_atom_site_label
_atom_site_fract_x
_atom_site_fract_y
_atom_site_fract_z
_atom_site_occupancy
Y1 0.000 0.000 0.000 1
Tc1 0.000 0.500 0.500 1
Sn1 0.500 0.500 0.500 1

***

# ZrTcSn2 (meta-GGA SCAN, PBEsol geometry)
# N(E_F): 12.13 states/eV per cell
# energy of formation: -2.6 kJ/mol of atoms
data_ZrTcSn2
_chemical_formula_sum 'Zr4 Tc4 Sn8'
_space_group_name_H-M_alt 'F m -3 m'
_space_group_IT_number 225
_space_group_name_Hall '-F 4 2 3'
_cell_length_a 6.718
_cell_length_b 6.718
_cell_length_c 6.718
_cell_angle_alpha 90.00
_cell_angle_beta 90.00
_cell_angle_gamma 90.00
loop_
_atom_site_label
_atom_site_fract_x
_atom_site_fract_y
_atom_site_fract_z
_atom_site_occupancy
Zr1 0.000 0.000 0.000 1
Tc1 0.000 0.000 0.500 1
Sn1 0.250 0.250 0.250 1

***

# ZrTc3Sn (meta-GGA SCAN, PBEsol geometry)
# N(E_F): 4.34 states/eV per cell
# energy of formation: 158.2 kJ/mol of atoms
data_ZrTc3Sn
_chemical_formula_sum 'Zr1 Tc3 Sn1'
_space_group_name_H-M_alt 'P m -3 m'
_space_group_IT_number 221
_space_group_name_Hall '-P 4 2 3'
_cell_length_a 4.731
_cell_length_b 4.731
_cell_length_c 4.731
_cell_angle_alpha 90.00
_cell_angle_beta 90.00
_cell_angle_gamma 90.00
loop_
_atom_site_label
_atom_site_fract_x
_atom_site_fract_y
_atom_site_fract_z
_atom_site_occupancy
Zr1 0.000 0.000 0.000 1
Tc1 0.000 0.500 0.500 1
Sn1 0.500 0.500 0.500 1

***

# Sn3Te (meta-GGA SCAN, PBEsol geometry)
# formation energy (no corrections): 244.4 meV/atom
# N(E_F): 2.08 states/eV per cell
data_Sn3Te
_chemical_formula_sum 'Sn3 Te1'
_space_group_name_H-M_alt 'P m -3 m'
_space_group_IT_number 221
_space_group_name_Hall '-P 4 2 3'
_cell_length_a 4.762
_cell_length_b 4.762
_cell_length_c 4.762
_cell_angle_alpha 90.00
_cell_angle_beta 90.00
_cell_angle_gamma 90.00
loop_
_atom_site_label
_atom_site_fract_x
_atom_site_fract_y
_atom_site_fract_z
_atom_site_occupancy
Sn1 0.000 0.000 0.500 1
Te1 0.500 0.500 0.500 1

***

# Tl2SnTe3 (meta-GGA SCAN, PBEsol geometry)
# formation energy (no corrections): -235.0 meV/atom
data_Tl2SnTe3
_chemical_formula_sum 'Tl16 Sn8 Te24'
_space_group_name_H-M_alt 'P n m a'
_space_group_IT_number 62
_cell_length_a 8.283
_cell_length_b 21.997
_cell_length_c 8.388
_cell_angle_alpha 90.00
_cell_angle_beta 90.00
_cell_angle_gamma 90.00
loop_
_space_group_symop_operation_xyz
'x,y,z'
'-x,-y,-z'
'-x+1/2,-y,z+1/2'
'x+1/2,y,-z+1/2'
'x+1/2,-y+1/2,-z+1/2'
'-x+1/2,y+1/2,z+1/2'
'-x,y+1/2,-z'
'x,-y+1/2,z'
loop_
_atom_site_label
_atom_site_fract_x
_atom_site_fract_y
_atom_site_fract_z
_atom_site_occupancy
Tl1 0.202 0.169 0.014 1
Tl2 0.231 0.011 0.969 1
Sn1 0.194 0.163 0.505 1
Te1 0.012 0.087 0.310 1
Te2 0.016 0.250 0.682 1
Te3 0.089 0.601 0.198 1
Te4 0.127 0.750 0.825 1

***

# Tl9SnTe6 (meta-GGA SCAN, PBEsol geometry)
# formation energy (no corrections): -278.5 meV/atom
# N(E_F): 9.00 states/eV per cell
data_Tl9SnTe6
_chemical_formula_sum 'Tl18 Sn2 Te12'
_space_group_name_H-M_alt 'I 4/m'
_space_group_IT_number 87
_space_group_name_Hall '-I 4'
_cell_length_a 8.717
_cell_length_b 8.717
_cell_length_c 12.801
_cell_angle_alpha 90.00
_cell_angle_beta 90.00
_cell_angle_gamma 90.00
loop_
_atom_site_label
_atom_site_fract_x
_atom_site_fract_y
_atom_site_fract_z
_atom_site_occupancy
Tl1 0.000 0.000 0.000 1
Tl2 0.143 0.348 0.160 1
Sn1 0.000 0.000 0.500 1
Te1 0.000 0.000 0.258 1
Te2 0.150 0.332 0.500 1